Here is TaIr2Au after structural relaxation from the Alexandria database. Energies are from GGA-PBE.

Properties
The value obtained for the total DFT energy (no corrections) is -8.139 eV/atom. The calculated formation energy is 0.07 eV/atom.

Cell lengths 2.825, 2.825, 28.046 Å; angles 90.00, 90.00, 120.00 degrees
Element x y z (fractional)
Ta 0.000 0.000 0.000
Ta 0.333 0.667 0.667
Ta 0.667 0.333 0.333
Ir 0.000 0.000 0.252
Ir 0.000 0.000 0.507
Ir 0.333 0.667 0.173
Ir 0.333 0.667 0.919
Ir 0.667 0.333 0.586
Ir 0.667 0.333 0.840
Au 0.000 0.000 0.754
Au 0.333 0.667 0.421
Au 0.667 0.333 0.088

---

Here is TaIr2Au after structural relaxation from the Alexandria database. Energies are from GGA-PBE.

Properties
The value obtained for the total DFT energy (no corrections) is -8.436 eV/atom. The calculated formation energy is -0.22 eV/atom.

Cell lengths 3.930, 3.930, 8.258 Å; angles 90.00, 90.00, 90.00 degrees
Element x y z (fractional)
Ta 0.000 0.000 0.000
Ta 0.500 0.500 0.500
Ir 0.000 0.000 0.500
Ir 0.000 0.500 0.250
Ir 0.500 0.000 0.750
Ir 0.500 0.500 0.000
Au 0.000 0.500 0.750
Au 0.500 0.000 0.250

---

no.,total magnetization (μB/cell)
1,1.72
2,0.00